Entry 1:
## NaHgSbI2 (GGA-PBE)

Data for crystalline NaHgSbI2 at its relaxed geometry.

Calculated values
E_form (uncorrected), eV/atom: 0.183
Excess energy over the best structure of this formula in the dataset, meV/atom: 216
D(E_F), states/eV/cell: 5.7

Cell lengths 5.8697, 5.8697, 6.2750 Å; angles 90.00, 90.00, 90.00 degrees
Closest atoms and distances in Å follow each position.
Element x y z (fractional)
Na 0.0000 0.0000 0.0000  4 I 2.93, 2 Sb 3.14
Hg 0.5000 0.5000 0.5000  4 Sb 4.15, 8 I 4.30
Sb 0.0000 0.0000 0.5000  2 Na 3.14
I 0.0000 0.5000 0.0000  2 Na 2.93
I 0.5000 0.0000 0.0000  2 Na 2.93

=====

Entry 2:
## InIrN2F (GGA-PBE)

Data for crystalline InIrN2F at its relaxed geometry.

Calculated values
E_form (uncorrected), eV/atom: 0.149
Excess energy over the best structure of this formula in the dataset, meV/atom: 0
D(E_F), states/eV/cell: 3.2

Cell lengths 3.7253, 3.7253, 7.1488 Å; angles 90.00, 90.00, 90.00 degrees
Closest atoms and distances in Å follow each position.
Element x y z (fractional)
In 0.0000 0.0000 0.0000  4 F 2.63
Ir 0.5000 0.5000 0.5000  4 N 1.86
N 0.0000 0.5000 0.5000  2 Ir 1.86
N 0.5000 0.0000 0.5000  2 Ir 1.86
F 0.5000 0.5000 0.0000  4 In 2.63

=====

Entry 3:
## NdYTm2S6 (GGA-PBE)

Data for crystalline NdYTm2S6 at its relaxed geometry.

Calculated values
E_form (uncorrected), eV/atom: -2.049
D(E_F), states/eV/cell: 0.0

Cell lengths 7.3365, 7.3365, 7.3365 Å; angles 56.42, 56.42, 56.42 degrees
Closest atoms and distances in Å follow each position.
Element x y z (fractional)
Nd 0.0000 0.0000 0.0000  6 S 2.80-2.91
Y 0.4943 0.4943 0.4943  6 S 2.74-2.79
Tm 0.2926 0.2926 0.2926  6 S 2.68-2.74
Tm 0.7957 0.7957 0.7957  6 S 2.67-2.74
S 0.0838 0.6733 0.4172  2 Tm 2.67-2.74, 1 Y 2.79, 1 Nd 2.80
S 0.1890 0.5821 0.9016  2 Tm 2.68-2.74, 1 Y 2.74, 1 Nd 2.91
S 0.4172 0.0838 0.6733  2 Tm 2.67-2.74, 1 Y 2.79, 1 Nd 2.80
S 0.5821 0.9016 0.1890  2 Tm 2.68-2.74, 1 Y 2.74, 1 Nd 2.91
S 0.6733 0.4172 0.0838  2 Tm 2.67-2.74, 1 Y 2.79, 1 Nd 2.80
S 0.9016 0.1890 0.5821  2 Tm 2.68-2.74, 1 Y 2.74, 1 Nd 2.91

=====

Entry 4:
## Sc5CdAu (GGA-PBE)

Data for crystalline Sc5CdAu at its relaxed geometry.

Calculated values
D(E_F), states/eV/cell: 19.8
Energy of formation from the pure elements, meV per atom: -140

Cell lengths 5.8989, 5.8989, 9.5601 Å; angles 90.90, 90.90, 92.44 degrees
Closest atoms and distances in Å follow each position.
Element x y z (fractional)
Sc 0.0361 0.6191 0.1651  1 Au 2.78, 1 Cd 3.03, 1 Sc 3.08
Sc 0.1440 0.8560 0.7500  2 Au 2.69, 1 Cd 2.95
Sc 0.2320 0.4343 0.4956  1 Au 2.85, 2 Cd 2.87-2.90, 1 Sc 2.88
Sc 0.3809 0.9639 0.3349  1 Au 2.78, 1 Cd 3.03, 1 Sc 3.08
Sc 0.4343 0.2320 0.9956  1 Au 2.85, 2 Cd 2.87-2.90, 1 Sc 2.88
Sc 0.5657 0.7680 0.0044  1 Au 2.85, 2 Cd 2.87-2.90, 1 Sc 2.88
Sc 0.6191 0.0361 0.6651  1 Au 2.78, 1 Cd 3.03, 1 Sc 3.08
Sc 0.7680 0.5657 0.5044  1 Au 2.85, 2 Cd 2.87-2.90, 1 Sc 2.88
Sc 0.8560 0.1440 0.2500  2 Au 2.69, 1 Cd 2.95
Sc 0.9639 0.3809 0.8349  1 Au 2.78, 1 Cd 3.03, 1 Sc 3.08
Cd 0.4901 0.5099 0.7500  7 Sc 2.87-3.03
Cd 0.5099 0.4901 0.2500  7 Sc 2.87-3.03
Au 0.0000 0.0000 0.0000  6 Sc 2.69-2.85
Au 0.0000 0.0000 0.5000  6 Sc 2.69-2.85

=====

Entry 5:
## LaGe2Br (GGA-PBE)

Data for crystalline LaGe2Br at its relaxed geometry.

Calculated values
E_form (uncorrected), eV/atom: -0.183
Excess energy over the best structure of this formula in the dataset, meV/atom: 0
D(E_F), states/eV/cell: 9.4

Cell lengths 9.4477, 9.4477, 5.5426 Å; angles 90.00, 90.00, 90.00 degrees
Closest atoms and distances in Å follow each position.
Element x y z (fractional)
La 0.0000 0.0000 0.0000  2 Br 2.77
La 0.0000 0.5000 0.2500  2 Br 2.77
La 0.5000 0.0000 0.7500  2 Br 2.77
La 0.5000 0.5000 0.5000  2 Br 2.77
Ge 0.2250 0.2500 0.1250  2 Ge 2.81
Ge 0.2500 0.7250 0.3750  2 Ge 2.81
Ge 0.2500 0.7750 0.8750  2 Ge 2.81
Ge 0.2750 0.2500 0.6250  2 Ge 2.81
Ge 0.7250 0.7500 0.6250  2 Ge 2.81
Ge 0.7500 0.2250 0.8750  2 Ge 2.81
Ge 0.7500 0.2750 0.3750  2 Ge 2.81
Ge 0.7750 0.7500 0.1250  2 Ge 2.81
Br 0.0000 0.0000 0.5000  2 La 2.77
Br 0.0000 0.5000 0.7500  2 La 2.77
Br 0.5000 0.0000 0.2500  2 La 2.77
Br 0.5000 0.5000 0.0000  2 La 2.77

=====

Entry 6:
## SrAl2Ag (GGA-PBE)

Data for crystalline SrAl2Ag at its relaxed geometry.

Calculated values
D(E_F), states/eV/cell: 3.1
Energy of formation from the pure elements, meV per atom: -40

Cell lengths 7.0467, 7.1294, 4.9019 Å; angles 90.00, 133.27, 90.00 degrees
Closest atoms and distances in Å follow each position.
Element x y z (fractional)
Sr 0.0000 0.0000 0.0000  4 Ag 3.06-3.10, 4 Al 3.08
Sr 0.5000 0.5000 0.0000  4 Ag 3.06-3.10, 4 Al 3.08
Al 0.0000 0.4990 0.0000  4 Ag 2.96-3.19, 4 Al 2.99-3.17
Al 0.0000 0.7388 0.5000  4 Al 2.99-3.17, 4 Sr 3.08
Al 0.5000 0.2388 0.5000  4 Al 2.99-3.17, 4 Sr 3.08
Al 0.5000 0.9990 0.0000  4 Ag 2.96-3.19, 4 Al 2.99-3.17
Ag 0.0000 0.2657 0.5000  4 Al 2.96-3.19, 4 Sr 3.06-3.10
Ag 0.5000 0.7657 0.5000  4 Al 2.96-3.19, 4 Sr 3.06-3.10

=====

Entry 7:
## ZnCdSe3 (GGA-PBE)

Data for crystalline ZnCdSe3 at its relaxed geometry.

Calculated values
E_form (uncorrected), eV/atom: 0.634
Excess energy over the best structure of this formula in the dataset, meV/atom: 337
D(E_F), states/eV/cell: 7.1

Cell lengths 5.2379, 5.2379, 5.2379 Å; angles 90.00, 90.00, 90.00 degrees
Closest atoms and distances in Å follow each position.
Element x y z (fractional)
Zn 0.0000 0.0000 0.0000  12 Se 3.70
Cd 0.5000 0.5000 0.5000  6 Se 2.62
Se 0.0000 0.5000 0.5000  2 Cd 2.62
Se 0.5000 0.0000 0.5000  2 Cd 2.62
Se 0.5000 0.5000 0.0000  2 Cd 2.62

=====

Entry 8:
## ZnCdOsS2 (GGA-PBE)

Data for crystalline ZnCdOsS2 at its relaxed geometry.

Calculated values
E_form (uncorrected), eV/atom: 1.404
D(E_F), states/eV/cell: 4.1

Cell lengths 4.4678, 4.4678, 5.6145 Å; angles 90.00, 90.00, 90.00 degrees
Closest atoms and distances in Å follow each position.
Element x y z (fractional)
Zn 0.0000 0.0000 0.0000  4 S 2.23
Cd 0.0000 0.0000 0.5000  2 Zn 2.81
Os 0.5000 0.5000 0.5000  4 Cd 3.16
S 0.0000 0.5000 0.0000  2 Zn 2.23
S 0.5000 0.0000 0.0000  2 Zn 2.23

=====

Entry 9:
## LiCa2Mo (GGA-PBE)

Data for crystalline LiCa2Mo at its relaxed geometry.

Calculated values
Excess energy over the best structure of this formula in the dataset, meV/atom: 177
D(E_F), states/eV/cell: 8.2
Energy of formation from the pure elements, meV per atom: 742

Cell lengths 4.6051, 4.6051, 10.1135 Å; angles 90.00, 90.00, 90.00 degrees
Closest atoms and distances in Å follow each position.
Element x y z (fractional)
Li 0.0000 0.0000 0.0000  8 Ca 3.26-3.42, 4 Mo 3.42
Li 0.5000 0.5000 0.5000  8 Ca 3.26-3.42, 4 Mo 3.42
Ca 0.0000 0.0000 0.5000  4 Li 3.26, 4 Mo 3.42, 4 Ca 3.42
Ca 0.0000 0.5000 0.2500  4 Mo 3.26, 4 Li 3.42, 4 Ca 3.42
Ca 0.5000 0.0000 0.7500  4 Mo 3.26, 4 Li 3.42, 4 Ca 3.42
Ca 0.5000 0.5000 0.0000  4 Li 3.26, 4 Mo 3.42, 4 Ca 3.42
Mo 0.0000 0.5000 0.7500  8 Ca 3.26-3.42, 4 Li 3.42
Mo 0.5000 0.0000 0.2500  8 Ca 3.26-3.42, 4 Li 3.42

=====

Entry 10:
## Ta12Mo6Ru (GGA-PBE)

Data for crystalline Ta12Mo6Ru at its relaxed geometry.

Calculated values
D(E_F), states/eV/cell: 20.8
Energy of formation from the pure elements, meV per atom: 198

Cell lengths 7.7085, 7.7085, 7.7085 Å; angles 110.65, 110.65, 110.65 degrees
Closest atoms and distances in Å follow each position.
Element x y z (fractional)
Ta 0.0532 0.1588 0.7116  3 Mo 2.71-2.86, 6 Ta 2.88-3.02, 1 Ru 2.97
Ta 0.1588 0.7116 0.0532  3 Mo 2.71-2.86, 6 Ta 2.88-3.02, 1 Ru 2.97
Ta 0.1864 0.3198 0.4474  2 Mo 2.62-2.77, 1 Ru 2.84, 3 Ta 2.87-2.88
Ta 0.2884 0.9468 0.8412  3 Mo 2.71-2.86, 6 Ta 2.88-3.02, 1 Ru 2.97
Ta 0.3198 0.4474 0.1864  2 Mo 2.62-2.77, 1 Ru 2.84, 3 Ta 2.87-2.88
Ta 0.4474 0.1864 0.3198  2 Mo 2.62-2.77, 1 Ru 2.84, 3 Ta 2.87-2.88
Ta 0.5526 0.8136 0.6802  2 Mo 2.62-2.77, 1 Ru 2.84, 3 Ta 2.87-2.88
Ta 0.6802 0.5526 0.8136  2 Mo 2.62-2.77, 1 Ru 2.84, 3 Ta 2.87-2.88
Ta 0.7116 0.0532 0.1588  3 Mo 2.71-2.86, 6 Ta 2.88-3.02, 1 Ru 2.97
Ta 0.8136 0.6802 0.5526  2 Mo 2.62-2.77, 1 Ru 2.84, 3 Ta 2.87-2.88
Ta 0.8412 0.2884 0.9468  3 Mo 2.71-2.86, 6 Ta 2.88-3.02, 1 Ru 2.97
Ta 0.9468 0.8412 0.2884  3 Mo 2.71-2.86, 6 Ta 2.88-3.02, 1 Ru 2.97
Mo 0.1022 0.6063 0.3983  5 Ta 2.62-2.86
Mo 0.3937 0.6017 0.8978  5 Ta 2.62-2.86
Mo 0.3983 0.1022 0.6063  5 Ta 2.62-2.86
Mo 0.6017 0.8978 0.3937  5 Ta 2.62-2.86
Mo 0.6063 0.3983 0.1022  5 Ta 2.62-2.86
Mo 0.8978 0.3937 0.6017  5 Ta 2.62-2.86
Ru 0.0000 0.0000 0.0000  12 Ta 2.84-2.97

=====

Entry 11:
## Sm2DyPd4 (GGA-PBE)

Data for crystalline Sm2DyPd4 at its relaxed geometry.

Calculated values
D(E_F), states/eV/cell: 8.5
Energy of formation from the pure elements, meV per atom: -556

Cell lengths 8.9736, 5.6569, 7.8398 Å; angles 90.00, 119.08, 90.00 degrees
Closest atoms and distances in Å follow each position.
Element x y z (fractional)
Sm 0.2229 0.0000 0.3301  5 Pd 2.92-3.06
Sm 0.2771 0.5000 0.6699  5 Pd 2.92-3.06
Sm 0.7229 0.5000 0.3301  5 Pd 2.92-3.06
Sm 0.7771 0.0000 0.6699  5 Pd 2.92-3.06
Dy 0.0000 0.5000 0.0000  6 Pd 2.65-2.96
Dy 0.5000 0.0000 0.0000  6 Pd 2.65-2.96
Pd 0.1530 0.0000 0.6575  3 Pd 2.65-2.77, 1 Sm 2.92, 1 Dy 2.96
Pd 0.2500 0.2500 0.0000  2 Dy 2.65, 4 Pd 2.77-2.83
Pd 0.2500 0.7500 0.0000  2 Dy 2.65, 4 Pd 2.77-2.83
Pd 0.3470 0.5000 0.3425  3 Pd 2.65-2.77, 1 Sm 2.92, 1 Dy 2.96
Pd 0.6530 0.5000 0.6575  3 Pd 2.65-2.77, 1 Sm 2.92, 1 Dy 2.96
Pd 0.7500 0.2500 0.0000  2 Dy 2.65, 4 Pd 2.77-2.83
Pd 0.7500 0.7500 0.0000  2 Dy 2.65, 4 Pd 2.77-2.83
Pd 0.8470 0.0000 0.3425  3 Pd 2.65-2.77, 1 Sm 2.92, 1 Dy 2.96

=====

Entry 12:
## BaLa3Pt (GGA-PBE)

Data for crystalline BaLa3Pt at its relaxed geometry.

Calculated values
Excess energy over the best structure of this formula in the dataset, meV/atom: 51
D(E_F), states/eV/cell: 12.1
Energy of formation from the pure elements, meV per atom: -360

Cell lengths 8.4179, 8.4179, 8.4179 Å; angles 56.21, 56.21, 56.21 degrees
Closest atoms and distances in Å follow each position.
Element x y z (fractional)
Ba 0.0878 0.0878 0.0878  1 Ba 3.72, 9 La 3.97-4.05
Ba 0.9122 0.9122 0.9122  1 Ba 3.72, 9 La 3.97-4.05
La 0.0971 0.5857 0.5857  2 Pt 2.97-2.98
La 0.4143 0.4143 0.9029  2 Pt 2.97-2.98
La 0.4143 0.9029 0.4143  2 Pt 2.97-2.98
La 0.5857 0.0971 0.5857  2 Pt 2.97-2.98
La 0.5857 0.5857 0.0971  2 Pt 2.97-2.98
La 0.9029 0.4143 0.4143  2 Pt 2.97-2.98
Pt 0.3307 0.3307 0.3307  6 La 2.97-2.98
Pt 0.6693 0.6693 0.6693  6 La 2.97-2.98

=====

no.,magnetization (μB/cell)
1,2.32
2,0.35
3,0.00
4,0.00
5,0.00
6,0.00
7,0.00
8,3.49
9,6.60
10,0.00
11,0.00
12,0.00